1.
A relaxed structure of Zr2AlNi2, computed with PBE.

Unit cell a=4.099 b=4.099 c=5.965 alpha=90.00 beta=90.00 gamma=120.00
Positions (direct):
Zr 0.333 0.667 0.178
Zr 0.667 0.333 0.822
Al 0.000 0.000 0.500
Ni 0.333 0.667 0.630
Ni 0.667 0.333 0.370

Properties
As for the symmetry: P-3m1 (164). The value obtained for the formation enthalpy at 0 K is -35.5 kJ/mol of atoms. For the total energy, the calculation gives -6.848 eV per atom. The magnetic moment comes out at 0.0 μB per formula unit.


2.
A relaxed structure of Zr2AlNi, computed with PBE.

Unit cell a=3.166 b=3.825 c=5.914 alpha=90.00 beta=90.29 gamma=90.00
Positions (direct):
Zr 0.003 0.000 0.260
Zr 0.997 0.000 0.740
Al 0.500 0.500 0.000
Ni 0.500 0.500 0.500

Properties
As for the symmetry: P2/m (10). The value obtained for the formation enthalpy at 0 K is -31.0 kJ/mol of atoms. For the total energy, the calculation gives -6.977 eV per atom. The magnetic moment comes out at 0.0 μB per formula unit.


3.
A relaxed structure of Zr2Al3Ni, computed with PBE.

Unit cell a=6.577 b=6.577 c=4.061 alpha=90.00 beta=90.00 gamma=144.02
Positions (direct):
Zr 0.158 0.842 0.000
Zr 0.842 0.158 0.000
Al 0.347 0.653 0.500
Al 0.500 0.500 0.000
Al 0.653 0.347 0.500
Ni 0.000 0.000 0.500

Properties
As for the symmetry: Cmmm (65). The value obtained for the formation enthalpy at 0 K is -42.8 kJ/mol of atoms. For the total energy, the calculation gives -6.127 eV per atom. The magnetic moment comes out at 0.0 μB per formula unit.


4.
A relaxed structure of Zr2Al9Ni3, computed with PBE.

Unit cell a=7.380 b=7.380 c=10.067 alpha=112.01 beta=112.01 gamma=59.41
Positions (direct):
Zr 0.089 0.256 0.249
Zr 0.256 0.089 0.749
Zr 0.744 0.911 0.251
Zr 0.911 0.744 0.751
Al 0.016 0.865 0.074
Al 0.135 0.984 0.426
Al 0.185 0.358 0.568
Al 0.200 0.582 0.251
Al 0.310 0.485 0.946
Al 0.354 0.646 0.750
Al 0.358 0.185 0.068
Al 0.418 0.800 0.249
Al 0.485 0.310 0.446
Al 0.515 0.690 0.554
Al 0.582 0.200 0.751
Al 0.642 0.815 0.932
Al 0.646 0.354 0.250
Al 0.690 0.515 0.054
Al 0.800 0.418 0.749
Al 0.815 0.642 0.432
Al 0.865 0.016 0.574
Al 0.984 0.135 0.926
Ni 0.000 0.500 0.000
Ni 0.160 0.671 0.499
Ni 0.329 0.840 0.001
Ni 0.500 0.000 0.500
Ni 0.671 0.160 0.999
Ni 0.840 0.329 0.501

Properties
As for the symmetry: C2/c (15). The value obtained for the formation enthalpy at 0 K is -51.1 kJ/mol of atoms. For the total energy, the calculation gives -5.395 eV per atom. The magnetic moment comes out at 0.0 μB per formula unit.


5.
A relaxed structure of Zr3Al2Ni, computed with PBE.

Unit cell a=5.999 b=5.999 c=7.302 alpha=90.00 beta=90.00 gamma=120.00
Positions (direct):
Zr 0.169 0.338 0.328
Zr 0.169 0.831 0.328
Zr 0.338 0.169 0.672
Zr 0.662 0.831 0.328
Zr 0.831 0.169 0.672
Zr 0.831 0.662 0.672
Al 0.000 0.000 0.000
Al 0.000 0.500 0.000
Al 0.500 0.000 0.000
Al 0.500 0.500 0.000
Ni 0.333 0.667 0.671
Ni 0.667 0.333 0.329

Properties
As for the symmetry: P-3m1 (164). The value obtained for the formation enthalpy at 0 K is -9.6 kJ/mol of atoms. For the total energy, the calculation gives -6.585 eV per atom. Its polymorph energy (0 for the lowest one) is 301 meV per atom. The magnetic moment comes out at 0.0 μB per formula unit.


6.
A relaxed structure of ZrAlNi2, computed with PBE.

Unit cell a=4.843 b=3.944 c=6.303 alpha=90.00 beta=90.00 gamma=90.00
Positions (direct):
Zr 0.250 0.000 0.217
Zr 0.750 0.000 0.783
Al 0.250 0.500 0.855
Al 0.750 0.500 0.145
Ni 0.000 0.500 0.500
Ni 0.250 0.000 0.636
Ni 0.500 0.500 0.500
Ni 0.750 0.000 0.364

Properties
As for the symmetry: Pmma (51). The value obtained for the formation enthalpy at 0 K is -48.9 kJ/mol of atoms. For the total energy, the calculation gives -6.471 eV per atom. The magnetic moment comes out at 0.0 μB per formula unit.


7.
A relaxed structure of Zr2AlNi, computed with PBE.

Unit cell a=5.731 b=4.542 c=5.799 alpha=90.00 beta=108.18 gamma=90.00
Positions (direct):
Zr 0.132 0.250 0.424
Zr 0.248 0.750 0.130
Zr 0.752 0.250 0.870
Zr 0.868 0.750 0.576
Al 0.406 0.750 0.697
Al 0.594 0.250 0.303
Ni 0.246 0.250 0.899
Ni 0.754 0.750 0.101

Properties
As for the symmetry: P2_1/m (11). The value obtained for the formation enthalpy at 0 K is -41.7 kJ/mol of atoms. For the total energy, the calculation gives -7.087 eV per atom. The magnetic moment comes out at 0.0 μB per formula unit.


8.
A relaxed structure of ZrAlNi2, computed with PBE.

Unit cell a=4.718 b=4.718 c=4.299 alpha=104.29 beta=104.29 gamma=40.39
Positions (direct):
Zr 0.000 0.000 0.000
Al 0.237 0.237 0.633
Ni 0.510 0.510 0.510
Ni 0.745 0.745 0.183

Properties
As for the symmetry: Cm (8). The value obtained for the formation enthalpy at 0 K is -38.2 kJ/mol of atoms. For the total energy, the calculation gives -6.360 eV per atom. The magnetic moment comes out at 0.0 μB per formula unit.